# 1
Entry from Alexandria via LeMat-Bulk: crystalline KMgZnBi2 at its relaxed geometry (PBE).

Properties
Mass density = 5790 kg/m³
SG = I-4m2
Total magnetic moment = 0.00 μB per formula unit
Formation energy from the elements = -23.3 kJ/mol of atoms

Cell lengths 4.5250, 4.5250, 8.3003 Å; angles 105.82, 105.82, 90.00 degrees
Sites, in units of the cell vectors:
1 K 0.0000 0.0000 0.0000
2 Bi 0.3710 0.3710 0.7419
3 Bi 0.6290 0.6290 0.2581
4 Zn 0.2500 0.7500 0.5000
5 Mg 0.7500 0.2500 0.5000

# 2
Entry from Alexandria via LeMat-Bulk: crystalline KMn2Bi at its relaxed geometry (PBE).

Properties
Mass density = 4323 kg/m³
SG = I4_1/amd
Total magnetic moment = 8.10 μB per formula unit
Formation energy from the elements = 62.0 kJ/mol of atoms

Cell lengths 5.3600, 5.3600, 10.2950 Å; angles 74.91, 74.91, 90.00 degrees
Site moments in Bohr magnetons follow the coordinates.
Sites, in units of the cell vectors:
1 Mn 0.3750 0.1249 0.7500  3.79
2 Mn 0.8749 0.6250 0.2500  3.65
3 Mn 0.8751 0.1250 0.2500  3.64
4 Mn 0.8750 0.1251 0.7500  3.79
5 K 0.2500 0.7500 0.5000  0.00
6 K 0.5000 0.5000 0.0000  0.00
7 Bi 0.0000 0.0000 0.0000  -0.10
8 Bi 0.7500 0.2500 0.5000  -0.10

# 3
Entry from Alexandria via LeMat-Bulk: crystalline KMnBi2 at its relaxed geometry (PBE).

Properties
Mass density = 6558 kg/m³
SG = R-3m
Total magnetic moment = 3.11 μB per formula unit
Formation energy from the elements = -1.0 kJ/mol of atoms

Cell lengths 4.3687, 4.3687, 8.2387 Å; angles 74.63, 74.63, 60.00 degrees
Site moments in Bohr magnetons follow the coordinates.
Sites, in units of the cell vectors:
1 Mn 0.0000 0.0000 0.0000  3.40
2 Bi 0.7208 0.7208 0.8375  -0.20
3 Bi 0.2792 0.2792 0.1625  -0.20
4 K 0.5000 0.5000 0.5000  -0.01

# 4
Entry from Alexandria via LeMat-Bulk: crystalline KMnBi2 at its relaxed geometry (PBE).

Properties
Mass density = 8462 kg/m³
SG = Fm-3m
Total magnetic moment = 0.17 μB per formula unit
Formation energy from the elements = 68.5 kJ/mol of atoms

Cell lengths 5.2181, 5.2181, 5.2181 Å; angles 60.00, 60.00, 60.00 degrees
Site moments in Bohr magnetons follow the coordinates.
Sites, in units of the cell vectors:
1 Bi 0.7500 0.7500 0.7500  0.08
2 Bi 0.2500 0.2500 0.2500  0.08
3 Mn 0.5000 0.5000 0.5000  -0.42
4 K 0.0000 0.0000 0.0000  0.01

# 5
Entry from Alexandria via LeMat-Bulk: crystalline K2MnBi2 at its relaxed geometry (PBE).

Properties
Mass density = 5337 kg/m³
SG = P4/mbm
Total magnetic moment = 4.38 μB per formula unit
Formation energy from the elements = -5.8 kJ/mol of atoms

Cell lengths 7.5904, 7.5904, 5.9524 Å; angles 90.00, 90.00, 90.00 degrees
Site moments in Bohr magnetons follow the coordinates.
Sites, in units of the cell vectors:
1 K 0.1647 0.6647 0.5000  0.00
2 K 0.8353 0.3353 0.5000  0.00
3 K 0.6647 0.8353 0.5000  0.00
4 K 0.3353 0.1647 0.5000  0.00
5 Bi 0.8503 0.6497 0.0000  -0.03
6 Bi 0.3503 0.8503 0.0000  -0.01
7 Bi 0.6497 0.1497 0.0000  -0.01
8 Bi 0.1497 0.3503 0.0000  -0.03
9 Mn 0.0000 0.0000 0.0000  3.99
10 Mn 0.5000 0.5000 0.0000  3.99

# 6
Entry from Alexandria via LeMat-Bulk: crystalline K2MnBi2 at its relaxed geometry (PBE).

Properties
Mass density = 5066 kg/m³
SG = P4/mbm
Total magnetic moment = 4.56 μB per formula unit
Formation energy from the elements = 38.5 kJ/mol of atoms

Cell lengths 10.5238, 10.5238, 3.2623 Å; angles 90.00, 90.00, 90.00 degrees
Site moments in Bohr magnetons follow the coordinates.
Sites, in units of the cell vectors:
1 Bi 0.1812 0.6812 0.5000  -0.07
2 Bi 0.6812 0.8188 0.5000  -0.06
3 Bi 0.8188 0.3188 0.5000  -0.07
4 Bi 0.3188 0.1812 0.5000  -0.06
5 Mn 0.0000 0.0000 0.0000  4.34
6 Mn 0.5000 0.5000 0.0000  4.34
7 K 0.8819 0.6181 0.0000  0.00
8 K 0.3819 0.8819 0.0000  0.00
9 K 0.6181 0.1181 0.0000  0.00
10 K 0.1181 0.3819 0.0000  0.00

# 7
Entry from Alexandria via LeMat-Bulk: crystalline KMnBi2 at its relaxed geometry (PBE).

Properties
Mass density = 5021 kg/m³
SG = I4_1/amd
Total magnetic moment = 0.00 μB per formula unit
Formation energy from the elements = 34.5 kJ/mol of atoms

Cell lengths 7.0310, 7.0310, 8.4640 Å; angles 65.46, 65.46, 90.00 degrees
Sites, in units of the cell vectors:
1 Bi 0.3750 0.1255 0.7500
2 Bi 0.8755 0.6250 0.2500
3 Bi 0.8745 0.1250 0.2500
4 Bi 0.8750 0.1245 0.7500
5 K 0.2500 0.7500 0.5000
6 K 0.5000 0.5000 0.0000
7 Mn 0.7500 0.2500 0.5000
8 Mn 0.0000 0.0000 0.0000

# 8
Entry from Alexandria via LeMat-Bulk: crystalline K2MnBi2 at its relaxed geometry (PBE).

Properties
Mass density = 4640 kg/m³
SG = P-1
Total magnetic moment = 3.07 μB per formula unit
Formation energy from the elements = -1.8 kJ/mol of atoms

Cell lengths 4.4253, 4.4342, 16.4122 Å; angles 98.14, 58.05, 60.00 degrees
Site moments in Bohr magnetons follow the coordinates.
Sites, in units of the cell vectors:
1 Bi 0.1553 0.6162 0.8912  -0.23
2 Bi 0.8442 0.3837 0.1088  -0.23
3 K 0.1237 0.5224 0.6770  -0.01
4 K 0.8772 0.4779 0.3229  -0.01
5 Mn 0.4997 0.4999 0.0000  3.45

# 9
Entry from Alexandria via LeMat-Bulk: crystalline K2MnBi2 at its relaxed geometry (PBE).

Properties
Mass density = 4318 kg/m³
SG = I4/mmm
Total magnetic moment = 4.39 μB per formula unit
Formation energy from the elements = 41.5 kJ/mol of atoms

Cell lengths 4.5693, 4.5693, 10.6530 Å; angles 77.62, 77.62, 90.00 degrees
Site moments in Bohr magnetons follow the coordinates.
Sites, in units of the cell vectors:
1 Mn 0.0000 0.0000 0.0000  4.23
2 Bi 0.7500 0.2500 0.5000  0.01
3 Bi 0.2500 0.7500 0.5000  0.01
4 K 0.3957 0.3957 0.2086  -0.01
5 K 0.6043 0.6043 0.7914  -0.01

# 10
Entry from Alexandria via LeMat-Bulk: crystalline K3MnBi at its relaxed geometry (PBE).

Properties
Mass density = 1985 kg/m³
SG = Pm-3m
Total magnetic moment = 5.00 μB per formula unit
Formation energy from the elements = 44.6 kJ/mol of atoms

Cell lengths 6.8323, 6.8323, 6.8323 Å; angles 90.00, 90.00, 90.00 degrees
Site moments in Bohr magnetons follow the coordinates.
Sites, in units of the cell vectors:
1 K 0.0000 0.5000 0.0000  0.00
2 K 0.0000 0.0000 0.5000  0.00
3 K 0.5000 0.0000 0.0000  0.00
4 Mn 0.5000 0.5000 0.5000  4.46
5 Bi 0.0000 0.0000 0.0000  0.13

Question: What is the formula in the first record?
Answer: KMgZnBi2